Rb2LaTa: optimized geometry, PBE.

DFT formation energy	1356	meV per atom

Unit cell a=4.616 b=4.616 c=28.357 alpha=90.00 beta=90.00 gamma=90.00
Space group I-42d (No. 122)
Inequivalent atoms, fractional coordinates:
Rb 0.247 0.250 0.125 x8
La 0.000 0.000 0.500 x4
Ta 0.000 0.000 0.000 x4

TaIn2As: optimized geometry, PBE.

DFT formation energy	137	meV per atom

Unit cell a=11.362 b=2.954 c=5.366 alpha=90.00 beta=106.75 gamma=90.00
Space group Cm (No. 8)
Inequivalent atoms, fractional coordinates:
Ta 0.000 0.000 0.000 x2
In 0.250 0.000 0.858 x2
In 0.464 0.000 0.493 x2
As 0.185 0.500 0.308 x2